Entry 1:
VASP calculation (PBE) on crystalline BaBr2Cl at its relaxed geometry.

The formation energy from raw total energies is -1.3823 eV per atom.

It has space group Cmm2 (No. 35), with a = 6.249 Å, b = 6.257 Å, c = 6.708 Å, α = 90.00°, β = 90.00° and γ = 90.00°. The distinct sites, in fractional coordinates, are Ba at (0.000, 0.000, 0.000), Br at (0.000, 0.000, 0.488), Br at (0.000, 0.500, 0.755) and Cl at (0.000, 0.500, 0.189).


Entry 2:
VASP calculation (PBE) on crystalline Tc3AsRh at its relaxed geometry.

For the formation enthalpy at 0 K, the calculation gives 1.27 eV per atom.

It has space group Pm-3m (No. 221), with a = 4.478 Å, b = 4.478 Å, c = 4.478 Å, α = 90.00°, β = 90.00° and γ = 90.00°. The distinct sites, in fractional coordinates, are Tc at (0.000, 0.000, 0.500), As at (0.000, 0.000, 0.000) and Rh at (0.500, 0.500, 0.500).


no.,DFT total energy (eV/atom),relative energy among the computed polymorphs (meV per atom),size of the total moment (μB per cell)
1,-3.161,227,2.08
2,-7.350,0,0.00